Entry 1:
First-principles (GGA-PBE) data for a geometry-optimized TlCdSe2O6 structure, as listed in the Alexandria database.

Mass density in g/cm3: 5.92
E in eV per atom: -4.75
Total moment in μB per cell: 0.00

a = 6.7588 Å, b = 6.7588 Å, c = 6.7588 Å
α = 48.73°, β = 48.73°, γ = 48.73°
With the nearest neighbours (Å) after each atom.
Positions (direct):
1 Tl 0.0000 0.0000 0.0000  6 O 2.61
2 Cd 0.5000 0.5000 0.5000  6 O 2.38
3 Se 0.2805 0.2805 0.2805  3 O 1.74
4 Se 0.7195 0.7195 0.7195  3 O 1.74
5 O 0.0494 0.7499 0.4763  1 Se 1.74
6 O 0.2501 0.5237 0.9506  1 Se 1.74
7 O 0.4763 0.0494 0.7499  1 Se 1.74
8 O 0.5237 0.9506 0.2501  1 Se 1.74
9 O 0.7499 0.4763 0.0494  1 Se 1.74
10 O 0.9506 0.2501 0.5237  1 Se 1.74

---

Entry 2:
First-principles (GGA-PBE) data for a geometry-optimized TlCdSeO5 structure, as listed in the Alexandria database.

Mass density in g/cm3: 5.17
E in eV per atom: -4.68
Total moment in μB per cell: 0.00

a = 6.6447 Å, b = 6.6447 Å, c = 7.7573 Å
α = 107.55°, β = 107.55°, γ = 94.87°
With the nearest neighbours (Å) after each atom.
Positions (direct):
1 Tl 0.0000 0.0000 0.0000  2 O 2.18
2 Tl 0.0000 0.0000 0.5000  2 O 2.18
3 Cd 0.3175 0.6825 0.7500  3 O 2.11-2.32
4 Cd 0.6825 0.3175 0.2500  3 O 2.11-2.32
5 Se 0.3756 0.6244 0.2500  4 O 1.68-1.71
6 Se 0.6244 0.3756 0.7500  4 O 1.68-1.71
7 O 0.1018 0.8982 0.7500  1 Cd 2.11, 2 Tl 2.18
8 O 0.2654 0.7129 0.4208  1 Se 1.68
9 O 0.2871 0.7346 0.0792  1 Se 1.68
10 O 0.3251 0.3503 0.1545  1 Se 1.71
11 O 0.3503 0.3251 0.6545  1 Se 1.71
12 O 0.6497 0.6749 0.3455  1 Se 1.71
13 O 0.6749 0.6497 0.8455  1 Se 1.71
14 O 0.7129 0.2654 0.9208  1 Se 1.68
15 O 0.7346 0.2871 0.5792  1 Se 1.68
16 O 0.8982 0.1018 0.2500  1 Cd 2.11, 2 Tl 2.18

---

Entry 3:
First-principles (GGA-PBE) data for a geometry-optimized TlCdSe2O8 structure, as listed in the Alexandria database.

Mass density in g/cm3: 5.64
E in eV per atom: -4.83
Total moment in μB per cell: 0.00

a = 8.1862 Å, b = 8.1862 Å, c = 8.1862 Å
α = 36.93°, β = 36.93°, γ = 36.93°
With the nearest neighbours (Å) after each atom.
Positions (direct):
1 Tl 0.0000 0.0000 0.0000  12 O 2.96-3.00
2 Cd 0.5000 0.5000 0.5000  6 O 2.33
3 Se 0.2505 0.2505 0.2505  4 O 1.68-1.69
4 Se 0.7495 0.7495 0.7495  4 O 1.68-1.69
5 O 0.0728 0.4549 0.7864  1 Se 1.68
6 O 0.2136 0.9272 0.5451  1 Se 1.68
7 O 0.3244 0.3244 0.3244  1 Se 1.69
8 O 0.4549 0.7864 0.0728  1 Se 1.68
9 O 0.5451 0.2136 0.9272  1 Se 1.68
10 O 0.6756 0.6756 0.6756  1 Se 1.69
11 O 0.7864 0.0728 0.4549  1 Se 1.68
12 O 0.9272 0.5451 0.2136  1 Se 1.68